(1)
# Ac2CePmSe6 | Alexandria | GGA-PBE | relaxed
# Uncorrected formation energy, meV per atom: -1889
data_Ac2CePmSe6
_chemical_formula_sum 'Ac6 Ce3 Pm3 Se18'
_cell_length_a 7.6986
_cell_length_b 7.6986
_cell_length_c 20.0244
_cell_angle_alpha 90.00
_cell_angle_beta 90.00
_cell_angle_gamma 120.00
_space_group_name_H-M_alt 'R 3'
_space_group_IT_number 146
_space_group_name_Hall 'R 3'
loop_
_atom_site_label
_atom_site_type_symbol
_atom_site_fract_x
_atom_site_fract_y
_atom_site_fract_z
_atom_site_occupancy
Ac1 Ac 0.0000 0.0000 0.0000 1
Ac2 Ac 0.0000 0.0000 0.4998 1
Ce1 Ce 0.0000 0.0000 0.2918 1
Pm1 Pm 0.0000 0.0000 0.7918 1
Se1 Se 0.0242 0.3865 0.0565 1
Se2 Se 0.0257 0.7206 0.8895 1

***

(2)
# Ac3Ce2PmSe6 | Alexandria | GGA-PBE | relaxed
# Uncorrected formation energy, meV per atom: -1836
data_Ac3Ce2PmSe6
_chemical_formula_sum 'Ac6 Ce4 Pm2 Se12'
_cell_length_a 7.475
_cell_length_b 12.962
_cell_length_c 7.566
_cell_angle_alpha 90.00
_cell_angle_beta 109.31
_cell_angle_gamma 90.00
_space_group_name_H-M_alt 'C 1 2/m 1'
_space_group_IT_number 12
_space_group_name_Hall '-C 2y'
loop_
_atom_site_label
_atom_site_type_symbol
_atom_site_fract_x
_atom_site_fract_y
_atom_site_fract_z
_atom_site_occupancy
Ac1 Ac 0.000 0.000 0.000 1
Ac2 Ac 0.000 0.334 0.000 1
Ce1 Ce 0.000 0.167 0.500 1
Pm1 Pm 0.000 0.500 0.500 1
Se1 Se 0.244 0.000 0.733 1
Se2 Se 0.244 0.333 0.733 1

***

(3)
# AcCePm4Se8 | Alexandria | GGA-PBE | relaxed
# Uncorrected formation energy, meV per atom: -1730
data_AcCePm4Se8
_chemical_formula_sum 'Ac3 Ce3 Pm12 Se24'
_cell_length_a 8.7358
_cell_length_b 8.7358
_cell_length_c 21.4776
_cell_angle_alpha 90.00
_cell_angle_beta 90.00
_cell_angle_gamma 120.00
_space_group_name_H-M_alt 'R 3 m'
_space_group_IT_number 160
_space_group_name_Hall 'R 3 -2"'
loop_
_atom_site_label
_atom_site_type_symbol
_atom_site_fract_x
_atom_site_fract_y
_atom_site_fract_z
_atom_site_occupancy
Ac1 Ac 0.0000 0.0000 0.0000 1
Ce1 Ce 0.0000 0.0000 0.3774 1
Pm1 Pm 0.0000 0.0000 0.7503 1
Pm2 Pm 0.1697 0.3394 0.2077 1
Se1 Se 0.0000 0.0000 0.1377 1
Se2 Se 0.0000 0.0000 0.6187 1
Se3 Se 0.0157 0.5078 0.1285 1
Se4 Se 0.1832 0.3665 0.9535 1

***

(4)
# Ac4CePm3Se8 | Alexandria | GGA-PBE | relaxed
# Uncorrected formation energy, meV per atom: -1841
data_Ac4CePm3Se8
_chemical_formula_sum 'Ac12 Ce3 Pm9 Se24'
_cell_length_a 8.6369
_cell_length_b 8.6369
_cell_length_c 21.3675
_cell_angle_alpha 90.00
_cell_angle_beta 90.00
_cell_angle_gamma 120.00
_space_group_name_H-M_alt 'R -3 m'
_space_group_IT_number 166
_space_group_name_Hall '-R 3 2"'
loop_
_atom_site_label
_atom_site_type_symbol
_atom_site_fract_x
_atom_site_fract_y
_atom_site_fract_z
_atom_site_occupancy
Ac1 Ac 0.0000 0.0000 0.0000 1
Ac2 Ac 0.0000 0.5000 0.0000 1
Ce1 Ce 0.0000 0.0000 0.5000 1
Pm1 Pm 0.0000 0.5000 0.5000 1
Se1 Se 0.0000 0.0000 0.2441 1
Se2 Se 0.9999 0.4999 0.2440 1

***

(5)
# AcCe3Pm4Se8 | Alexandria | GGA-PBE | relaxed
# Uncorrected formation energy, meV per atom: -1829
data_AcCe3Pm4Se8
_chemical_formula_sum 'Ac3 Ce9 Pm12 Se24'
_cell_length_a 8.4665
_cell_length_b 8.4665
_cell_length_c 20.7986
_cell_angle_alpha 90.00
_cell_angle_beta 90.00
_cell_angle_gamma 120.00
_space_group_name_H-M_alt 'R -3 m'
_space_group_IT_number 166
_space_group_name_Hall '-R 3 2"'
loop_
_atom_site_label
_atom_site_type_symbol
_atom_site_fract_x
_atom_site_fract_y
_atom_site_fract_z
_atom_site_occupancy
Ac1 Ac 0.0000 0.0000 0.0000 1
Ce1 Ce 0.0000 0.5000 0.0000 1
Pm1 Pm 0.0000 0.0000 0.5000 1
Pm2 Pm 0.0000 0.5000 0.5000 1
Se1 Se 0.0000 0.0000 0.2497 1
Se2 Se 0.0072 0.5036 0.2478 1

***

(6)
# Ac4Ce3PmSe8 | Alexandria | GGA-PBE | relaxed
# Uncorrected formation energy, meV per atom: -1835
data_Ac4Ce3PmSe8
_chemical_formula_sum 'Ac12 Ce9 Pm3 Se24'
_cell_length_a 8.6473
_cell_length_b 8.6473
_cell_length_c 21.3810
_cell_angle_alpha 90.00
_cell_angle_beta 90.00
_cell_angle_gamma 120.00
_space_group_name_H-M_alt 'R -3 m'
_space_group_IT_number 166
_space_group_name_Hall '-R 3 2"'
loop_
_atom_site_label
_atom_site_type_symbol
_atom_site_fract_x
_atom_site_fract_y
_atom_site_fract_z
_atom_site_occupancy
Ac1 Ac 0.0000 0.0000 0.0000 1
Ac2 Ac 0.0000 0.5000 0.0000 1
Ce1 Ce 0.0000 0.5000 0.5000 1
Pm1 Pm 0.0000 0.0000 0.5000 1
Se1 Se 0.0000 0.0000 0.2444 1
Se2 Se 0.0004 0.5002 0.2443 1

***

(7)
# AcCe2Pm3Se6 | Alexandria | GGA-PBE | relaxed
# Uncorrected formation energy, meV per atom: -1831
data_AcCe2Pm3Se6
_chemical_formula_sum 'Ac2 Ce4 Pm6 Se12'
_cell_length_a 7.340
_cell_length_b 12.725
_cell_length_c 7.381
_cell_angle_alpha 90.00
_cell_angle_beta 109.45
_cell_angle_gamma 90.00
_space_group_name_H-M_alt 'C 1 2/m 1'
_space_group_IT_number 12
_space_group_name_Hall '-C 2y'
loop_
_atom_site_label
_atom_site_type_symbol
_atom_site_fract_x
_atom_site_fract_y
_atom_site_fract_z
_atom_site_occupancy
Ac1 Ac 0.000 0.000 0.000 1
Ce1 Ce 0.000 0.333 0.000 1
Pm1 Pm 0.000 0.161 0.500 1
Pm2 Pm 0.000 0.500 0.500 1
Se1 Se 0.241 0.500 0.253 1
Se2 Se 0.242 0.329 0.741 1

***

(8)
# AcCePm2Se4 | Alexandria | GGA-PBE | relaxed
# Uncorrected formation energy, meV per atom: -1828
data_AcCePm2Se4
_chemical_formula_sum 'Ac1 Ce1 Pm2 Se4'
_cell_length_a 7.409
_cell_length_b 4.245
_cell_length_c 7.419
_cell_angle_alpha 90.00
_cell_angle_beta 109.18
_cell_angle_gamma 90.00
_space_group_name_H-M_alt 'P 1 2/m 1'
_space_group_IT_number 10
_space_group_name_Hall '-P 2y'
loop_
_atom_site_label
_atom_site_type_symbol
_atom_site_fract_x
_atom_site_fract_y
_atom_site_fract_z
_atom_site_occupancy
Ac1 Ac 0.000 0.000 0.000 1
Ce1 Ce 0.000 0.500 0.500 1
Pm1 Pm 0.500 0.000 0.500 1
Pm2 Pm 0.500 0.500 0.000 1
Se1 Se 0.257 0.000 0.745 1
Se2 Se 0.262 0.500 0.261 1

***

(9)
# AcCePmSi | Alexandria | GGA-PBE | relaxed
# Uncorrected formation energy, meV per atom: 90
data_AcCePmSi
_chemical_formula_sum 'Ac4 Ce4 Pm4 Si4'
_cell_length_a 7.681
_cell_length_b 7.681
_cell_length_c 7.681
_cell_angle_alpha 90.00
_cell_angle_beta 90.00
_cell_angle_gamma 90.00
_space_group_name_H-M_alt 'F -4 3 m'
_space_group_IT_number 216
_space_group_name_Hall 'F -4 2 3'
loop_
_atom_site_label
_atom_site_type_symbol
_atom_site_fract_x
_atom_site_fract_y
_atom_site_fract_z
_atom_site_occupancy
Ac1 Ac 0.000 0.000 0.000 1
Ce1 Ce 0.250 0.250 0.750 1
Pm1 Pm 0.250 0.250 0.250 1
Si1 Si 0.000 0.000 0.500 1

***

(10)
# AcCePmSm | Alexandria | GGA-PBE | relaxed
# DFT formation energy, eV per atom: 0.223
data_AcCePmSm
_chemical_formula_sum 'Ac4 Ce4 Pm4 Sm4'
_cell_length_a 8.353
_cell_length_b 8.353
_cell_length_c 8.353
_cell_angle_alpha 90.00
_cell_angle_beta 90.00
_cell_angle_gamma 90.00
_space_group_name_H-M_alt 'F -4 3 m'
_space_group_IT_number 216
_space_group_name_Hall 'F -4 2 3'
loop_
_atom_site_label
_atom_site_type_symbol
_atom_site_fract_x
_atom_site_fract_y
_atom_site_fract_z
_atom_site_occupancy
Ac1 Ac 0.000 0.000 0.000 1
Ce1 Ce 0.250 0.250 0.750 1
Pm1 Pm 0.000 0.000 0.500 1
Sm1 Sm 0.250 0.250 0.250 1

***

(11)
# AcCePmSn | Alexandria | GGA-PBE | relaxed
# DFT formation energy, eV per atom: -0.158
data_AcCePmSn
_chemical_formula_sum 'Ac4 Ce4 Pm4 Sn4'
_cell_length_a 7.955
_cell_length_b 7.955
_cell_length_c 7.955
_cell_angle_alpha 90.00
_cell_angle_beta 90.00
_cell_angle_gamma 90.00
_space_group_name_H-M_alt 'F -4 3 m'
_space_group_IT_number 216
_space_group_name_Hall 'F -4 2 3'
loop_
_atom_site_label
_atom_site_type_symbol
_atom_site_fract_x
_atom_site_fract_y
_atom_site_fract_z
_atom_site_occupancy
Ac1 Ac 0.000 0.000 0.000 1
Ce1 Ce 0.250 0.250 0.750 1
Pm1 Pm 0.250 0.250 0.250 1
Sn1 Sn 0.000 0.000 0.500 1

***

(12)
# AcTbCePm | Alexandria | GGA-PBE | relaxed
# DFT formation energy, eV per atom: 0.224
data_AcTbCePm
_chemical_formula_sum 'Ac4 Tb4 Ce4 Pm4'
_cell_length_a 8.317
_cell_length_b 8.317
_cell_length_c 8.317
_cell_angle_alpha 90.00
_cell_angle_beta 90.00
_cell_angle_gamma 90.00
_space_group_name_H-M_alt 'F -4 3 m'
_space_group_IT_number 216
_space_group_name_Hall 'F -4 2 3'
loop_
_atom_site_label
_atom_site_type_symbol
_atom_site_fract_x
_atom_site_fract_y
_atom_site_fract_z
_atom_site_occupancy
Ac1 Ac 0.000 0.000 0.000 1
Tb1 Tb 0.250 0.250 0.250 1
Ce1 Ce 0.250 0.250 0.750 1
Pm1 Pm 0.000 0.000 0.500 1

***

Number 1: total magnetic moment 1.01 μB/f.u.. Number 2: total magnetic moment 1.97 μB/f.u.. Number 3: total magnetic moment 1.86 μB/f.u.. Number 4: total magnetic moment 1.04 μB/f.u.. Number 5: total magnetic moment 3.04 μB/f.u.. Number 6: total magnetic moment 3.03 μB/f.u.. Number 7: total magnetic moment 1.97 μB/f.u.. Number 8: total magnetic moment 1.10 μB/f.u.. Number 9: total magnetic moment 1.07 μB/f.u.. Number 10: total magnetic moment 3.27 μB/f.u.. Number 11: total magnetic moment 1.16 μB/f.u.. Number 12: total magnetic moment 3.27 μB/f.u..